No. 1
VASP calculation (PBE) on a relaxed structure of PaIn2Pt.

Computed properties:
Calculated total energy ... -5.17 eV/atom

Cell and atoms, written as POSCAR:
```
PaIn2Pt
1.0
3.130 0.000 0.000
-1.565 2.710 0.000
0.000 0.000 32.644
Pa In Pt
3 6 3
Direct
0.000 0.000 0.000
0.333 0.667 0.667
0.667 0.333 0.333
0.000 0.000 0.099
0.000 0.000 0.901
0.333 0.667 0.568
0.333 0.667 0.765
0.667 0.333 0.235
0.667 0.333 0.432
0.000 0.000 0.500
0.333 0.667 0.167
0.667 0.333 0.833
```

No. 2
VASP calculation (PBE) on a relaxed structure of PaInPt6.

Computed properties:
Calculated total energy ... -6.83 eV/atom

Cell and atoms, written as POSCAR:
```
PaInPt6
1.0
4.125 0.000 0.000
0.000 4.125 0.000
0.000 0.000 8.186
Pa In Pt
1 1 6
Direct
0.000 0.000 0.000
0.000 0.000 0.500
0.000 0.500 0.248
0.000 0.500 0.752
0.500 0.000 0.248
0.500 0.000 0.752
0.500 0.500 0.000
0.500 0.500 0.500
```

No. 3
VASP calculation (PBE) on a relaxed structure of Pa2InPt.

Computed properties:
Calculated total energy ... -7.32 eV/atom

Cell and atoms, written as POSCAR:
```
Pa2InPt
1.0
4.410 0.000 0.000
0.000 4.410 0.000
0.000 0.000 4.561
Pa In Pt
2 1 1
Direct
0.000 0.500 0.000
0.500 0.000 0.000
0.000 0.000 0.500
0.500 0.500 0.500
```

No. 4
VASP calculation (PBE) on a relaxed structure of PaInPt2.

Computed properties:
Calculated total energy ... -6.80 eV/atom

Cell and atoms, written as POSCAR:
```
PaInPt2
1.0
3.338 0.000 0.000
0.000 3.338 0.000
0.000 0.000 7.160
Pa In Pt
1 1 2
Direct
0.000 0.000 0.000
0.000 0.000 0.500
0.500 0.500 0.259
0.500 0.500 0.741
```

No. 5
VASP calculation (PBE) on a relaxed structure of Pa2InPt3.

Computed properties:
Calculated total energy ... -7.17 eV/atom

Cell and atoms, written as POSCAR:
```
Pa2InPt3
1.0
0.000 6.649 6.649
6.649 0.000 6.649
6.649 6.649 0.000
Pa In Pt
8 4 12
Direct
0.216 0.761 0.761
0.239 0.239 0.239
0.239 0.239 0.784
0.239 0.784 0.239
0.761 0.216 0.761
0.761 0.761 0.216
0.761 0.761 0.761
0.784 0.239 0.239
0.000 0.500 0.500
0.500 0.000 0.500
0.500 0.500 0.000
0.500 0.500 0.500
0.129 0.129 0.621
0.129 0.621 0.129
0.129 0.621 0.621
0.379 0.379 0.871
0.379 0.871 0.379
0.379 0.871 0.871
0.621 0.129 0.129
0.621 0.129 0.621
0.621 0.621 0.129
0.871 0.379 0.379
0.871 0.379 0.871
0.871 0.871 0.379
```

No. 6
VASP calculation (PBE) on a relaxed structure of PaInPt4.

Computed properties:
Calculated total energy ... -6.83 eV/atom

Cell and atoms, written as POSCAR:
```
PaInPt4
1.0
0.000 3.818 3.818
3.818 0.000 3.818
3.818 3.818 0.000
Pa In Pt
1 1 4
Direct
0.000 0.000 0.000
0.750 0.750 0.750
0.375 0.375 0.375
0.375 0.375 0.874
0.375 0.874 0.375
0.874 0.375 0.375
```

Which value of calculated total energy does entry 2 give?
-6.83 eV/atom

calculated total energy of number 1 (PaIn2Pt)?
-5.17 eV/atom